Below is an optimized crystal structure of Nd3Ru, with properties calculated at the PBE level.

Its space group is Pnma. The total magnetization is 0.0 μB per cell. The calculation puts the final energy at -6.0856 eV/atom. The formation energy is -4.399 kcal/mol of atoms.

Unit cell a=7.4241 b=9.7808 c=6.4924 alpha=90.00 beta=90.00 gamma=90.00
Fractional coordinates of all 16 atoms:
Nd 0.0425 0.2500 0.1450
Nd 0.1760 0.0675 0.6706
Nd 0.1760 0.4325 0.6706
Nd 0.3240 0.5675 0.1706
Nd 0.3240 0.9325 0.1706
Nd 0.4575 0.7500 0.6450
Nd 0.5425 0.2500 0.3550
Nd 0.6760 0.0675 0.8294
Nd 0.6760 0.4325 0.8294
Nd 0.8240 0.5675 0.3294
Nd 0.8240 0.9325 0.3294
Nd 0.9575 0.7500 0.8550
Ru 0.1145 0.7500 0.4465
Ru 0.3855 0.2500 0.9465
Ru 0.6145 0.7500 0.0535
Ru 0.8855 0.2500 0.5535

---

Below is an optimized crystal structure of LaZnPb2, with properties calculated at the PBE level.

Its space group is Imm2. The total magnetization is 0.0 μB per cell. The calculation puts the final energy at -3.6795 eV/atom. The formation energy is -6.342 kcal/mol of atoms.

Unit cell a=6.1678 b=6.1678 c=6.1678 alpha=136.89 beta=134.74 gamma=64.28
Fractional coordinates of all 4 atoms:
La 0.0000 0.0000 0.0000
Zn 0.7680 0.2680 0.5000
Pb 0.2704 0.7704 0.5000
Pb 0.5539 0.5539 0.0000

---

Below is an optimized crystal structure of Nb2ZnMoH, with properties calculated at the PBE level.

Its space group is P4/mmm. The calculation puts the polymorph energy (0 for the lowest one) at 74.2 meV/atom. The total magnetization is 0.0 μB per cell. The calculation puts the final energy at -7.0812 eV/atom.

Unit cell a=4.2943 b=4.2943 c=3.7151 alpha=90.00 beta=90.00 gamma=90.00
Fractional coordinates of all 5 atoms:
Nb 0.0000 0.5000 0.0000
Nb 0.5000 0.0000 0.0000
Zn 0.0000 0.0000 0.5000
Mo 0.5000 0.5000 0.5000
H 0.0000 0.0000 0.0000

---

Below is an optimized crystal structure of LiCaV3, with properties calculated at the PBE level.

Its space group is Pm-3m. The calculation puts the polymorph energy (0 for the lowest one) at 0.0 meV/atom. The total magnetization is 7.4 μB per cell. The calculation puts the final energy at -4.9320 eV/atom. The formation energy is 30.492 kcal/mol of atoms.

Unit cell a=4.5781 b=4.5781 c=4.5781 alpha=90.00 beta=90.00 gamma=90.00
Fractional coordinates of all 5 atoms:
Li 0.0000 0.0000 0.0000
Ca 0.5000 0.5000 0.5000
V 0.0000 0.0000 0.5000
V 0.0000 0.5000 0.0000
V 0.5000 0.0000 0.0000

---

What is the formula in the fourth record?
LiCaV3

---

What is the total magnetization in the fourth record?
7.4 μB per cell